# 1
# Al2HgB | Alexandria via LeMat-Bulk | PBE | optimized geometry
data_Al2HgB
_chemical_formula_sum 'Al8 Hg4 B4'
_symmetry_space_group_name_H-M 'I -4 2 d'
_symmetry_Int_Tables_number 122
_symmetry_space_group_name_Hall 'I -4 2bw'
_cell_length_a 5.8484
_cell_length_b 5.8484
_cell_length_c 9.6891
_cell_angle_alpha 90.00
_cell_angle_beta 90.00
_cell_angle_gamma 90.00
loop_
_atom_site_label
_atom_site_fract_x
_atom_site_fract_y
_atom_site_fract_z
Al1 0.1302 0.2500 0.1250
Hg1 0.0000 0.0000 0.5000
B1 0.0000 0.0000 0.0000
# - Excess energy over the best structure of this formula in the dataset: 0.0 meV per atom
# - Calculated formation energy: 0.3889 eV/atom

=====

# 2
# AlHgB | Alexandria via LeMat-Bulk | PBE | optimized geometry
data_AlHgB
_chemical_formula_sum 'Al2 Hg2 B2'
_symmetry_space_group_name_H-M 'P 1'
_symmetry_Int_Tables_number 1
_cell_length_a 3.0757
_cell_length_b 3.8164
_cell_length_c 10.1118
_cell_angle_alpha 82.14
_cell_angle_beta 81.48
_cell_angle_gamma 89.99
loop_
_symmetry_equiv_pos_as_xyz
'x,y,z'
loop_
_atom_site_label
_atom_site_fract_x
_atom_site_fract_y
_atom_site_fract_z
Al1 0.0000 0.0000 0.0000
Al2 0.3903 0.7147 0.2252
Hg1 0.1410 0.0545 0.7319
Hg2 0.2655 0.6598 0.4933
B1 0.4448 0.2602 0.1135
B2 0.9456 0.4544 0.1117
# - Calculated formation energy: 0.1182 eV/atom

=====

# 3
# AlHgB | Alexandria via LeMat-Bulk | PBE | optimized geometry
data_AlHgB
_chemical_formula_sum 'Al2 Hg2 B2'
_symmetry_space_group_name_H-M 'P 1'
_symmetry_Int_Tables_number 1
_cell_length_a 3.0568
_cell_length_b 6.1112
_cell_length_c 6.1401
_cell_angle_alpha 65.34
_cell_angle_beta 89.41
_cell_angle_gamma 89.42
loop_
_symmetry_equiv_pos_as_xyz
'x,y,z'
loop_
_atom_site_label
_atom_site_fract_x
_atom_site_fract_y
_atom_site_fract_z
Al1 0.0000 0.0000 0.0000
Al2 0.4913 0.9507 0.6299
Hg1 0.5002 0.4302 0.4418
Hg2 0.9962 0.4844 0.9328
B1 0.4981 0.8713 0.3054
B2 0.9962 0.8790 0.3935
# - Calculated formation energy: 0.2347 eV/atom

=====

# 4
# AlHgB | Alexandria via LeMat-Bulk | PBE | optimized geometry
data_AlHgB
_chemical_formula_sum 'Al2 Hg2 B2'
_symmetry_space_group_name_H-M 'P 1'
_symmetry_Int_Tables_number 1
_cell_length_a 3.5127
_cell_length_b 3.5144
_cell_length_c 9.9906
_cell_angle_alpha 88.24
_cell_angle_beta 89.89
_cell_angle_gamma 60.09
loop_
_symmetry_equiv_pos_as_xyz
'x,y,z'
loop_
_atom_site_label
_atom_site_fract_x
_atom_site_fract_y
_atom_site_fract_z
Al1 0.0000 0.0000 0.0000
Al2 0.3170 0.3686 0.7829
Hg1 0.4094 0.1819 0.5324
Hg2 0.5981 0.7995 0.2835
B1 0.6618 0.6775 0.8997
B2 0.6701 0.6580 0.0656
# - Calculated formation energy: 0.2465 eV/atom

=====

# 5
# AlHgB | Alexandria via LeMat-Bulk | PBE | optimized geometry
data_AlHgB
_chemical_formula_sum 'Al2 Hg2 B2'
_symmetry_space_group_name_H-M 'P -1'
_symmetry_Int_Tables_number 2
_cell_length_a 3.0648
_cell_length_b 3.6228
_cell_length_c 10.0305
_cell_angle_alpha 82.32
_cell_angle_beta 82.51
_cell_angle_gamma 65.51
loop_
_symmetry_equiv_pos_as_xyz
'x,y,z'
'-x,-y,-z'
loop_
_atom_site_label
_atom_site_fract_x
_atom_site_fract_y
_atom_site_fract_z
Al1 0.0117 0.3614 0.1421
Hg1 0.1946 0.7282 0.3712
B1 0.2647 0.0014 0.9642
# - Calculated formation energy: 0.1513 eV/atom

=====

# 6
# AlHgB | Alexandria via LeMat-Bulk | PBE | optimized geometry
data_AlHgB
_chemical_formula_sum 'Al2 Hg2 B2'
_symmetry_space_group_name_H-M 'P 1'
_symmetry_Int_Tables_number 1
_cell_length_a 3.0538
_cell_length_b 6.1341
_cell_length_c 6.4716
_cell_angle_alpha 112.18
_cell_angle_beta 103.35
_cell_angle_gamma 90.83
loop_
_symmetry_equiv_pos_as_xyz
'x,y,z'
loop_
_atom_site_label
_atom_site_fract_x
_atom_site_fract_y
_atom_site_fract_z
Al1 0.0000 0.0000 0.0000
Al2 0.2108 0.9735 0.4132
Hg1 0.1671 0.4895 0.3427
Hg2 0.9158 0.5275 0.8323
B1 0.3994 0.0829 0.7902
B2 0.8513 0.0907 0.6923
# - Calculated formation energy: 0.2240 eV/atom

=====

# 7
# AlHgB | Alexandria via LeMat-Bulk | PBE | optimized geometry
data_AlHgB
_chemical_formula_sum 'Al2 Hg2 B2'
_symmetry_space_group_name_H-M 'P 1'
_symmetry_Int_Tables_number 1
_cell_length_a 3.0778
_cell_length_b 5.7874
_cell_length_c 6.0051
_cell_angle_alpha 92.14
_cell_angle_beta 104.47
_cell_angle_gamma 105.22
loop_
_symmetry_equiv_pos_as_xyz
'x,y,z'
loop_
_atom_site_label
_atom_site_fract_x
_atom_site_fract_y
_atom_site_fract_z
Al1 0.0000 0.0000 0.0000
Al2 0.3217 0.0398 0.6090
Hg1 0.6348 0.5333 0.7637
Hg2 0.8268 0.3798 0.2759
B1 0.0419 0.7916 0.2924
B2 0.6082 0.9161 0.3022
# - Calculated formation energy: 0.2504 eV/atom

=====

# 8
# AlHgB2 | Alexandria via LeMat-Bulk | PBE | optimized geometry
data_AlHgB2
_chemical_formula_sum 'Al4 Hg4 B8'
_symmetry_space_group_name_H-M 'F m -3 m'
_symmetry_Int_Tables_number 225
_symmetry_space_group_name_Hall '-F 4 2 3'
_cell_length_a 6.0409
_cell_length_b 6.0409
_cell_length_c 6.0409
_cell_angle_alpha 90.00
_cell_angle_beta 90.00
_cell_angle_gamma 90.00
loop_
_atom_site_label
_atom_site_fract_x
_atom_site_fract_y
_atom_site_fract_z
Al1 0.0000 0.0000 0.0000
Hg1 0.0000 0.0000 0.5000
B1 0.2500 0.2500 0.2500
# - Excess energy over the best structure of this formula in the dataset: 290.3 meV per atom
# - Calculated formation energy: 1.4686 eV/atom

=====

# 9
# Al2HgB | Alexandria via LeMat-Bulk | PBE | optimized geometry
data_Al2HgB
_chemical_formula_sum 'Al8 Hg4 B4'
_symmetry_space_group_name_H-M 'F m -3 m'
_symmetry_Int_Tables_number 225
_symmetry_space_group_name_Hall '-F 4 2 3'
_cell_length_a 6.3956
_cell_length_b 6.3956
_cell_length_c 6.3956
_cell_angle_alpha 90.00
_cell_angle_beta 90.00
_cell_angle_gamma 90.00
loop_
_atom_site_label
_atom_site_fract_x
_atom_site_fract_y
_atom_site_fract_z
Al1 0.2500 0.2500 0.2500
Hg1 0.0000 0.0000 0.0000
B1 0.0000 0.0000 0.5000
# - Excess energy over the best structure of this formula in the dataset: 462.9 meV per atom
# - Calculated formation energy: 0.8519 eV/atom

=====

# 10
# AlHgB | Alexandria via LeMat-Bulk | PBE | optimized geometry
data_AlHgB
_chemical_formula_sum 'Al4 Hg4 B4'
_symmetry_space_group_name_H-M 'A m m 2'
_symmetry_Int_Tables_number 38
_cell_length_a 3.0598
_cell_length_b 19.2988
_cell_length_c 3.5939
_cell_angle_alpha 90.00
_cell_angle_beta 90.00
_cell_angle_gamma 90.00
loop_
_symmetry_equiv_pos_as_xyz
'x,y,z'
'-x,-y,z'
'-x,y,z'
'x,-y,z'
'x,y+1/2,z+1/2'
'-x,-y+1/2,z+1/2'
'-x,y+1/2,z+1/2'
'x,-y+1/2,z+1/2'
loop_
_atom_site_label
_atom_site_fract_x
_atom_site_fract_y
_atom_site_fract_z
Al1 0.0000 0.0688 0.0000
Hg1 0.5000 0.1886 0.9757
B1 0.0000 0.0000 0.5047
B2 0.5000 0.0000 0.3255
# - Calculated formation energy: 0.1834 eV/atom

=====

# 11
# AlHgB | Alexandria via LeMat-Bulk | PBE | optimized geometry
data_AlHgB
_chemical_formula_sum 'Al2 Hg2 B2'
_symmetry_space_group_name_H-M 'P 1'
_symmetry_Int_Tables_number 1
_cell_length_a 3.8248
_cell_length_b 3.8359
_cell_length_c 7.9924
_cell_angle_alpha 81.24
_cell_angle_beta 80.88
_cell_angle_gamma 81.63
loop_
_symmetry_equiv_pos_as_xyz
'x,y,z'
loop_
_atom_site_label
_atom_site_fract_x
_atom_site_fract_y
_atom_site_fract_z
Al1 0.0000 0.0000 0.0000
Al2 0.2815 0.2820 0.2358
Hg1 0.1432 0.1467 0.5677
Hg2 0.5524 0.5583 0.7832
B1 0.4826 0.7981 0.1190
B2 0.7992 0.4833 0.1181
# - Calculated formation energy: 0.2796 eV/atom

=====

# 12
# AlHgB | Alexandria via LeMat-Bulk | PBE | optimized geometry
data_AlHgB
_chemical_formula_sum 'Al2 Hg2 B2'
_symmetry_space_group_name_H-M 'P -1'
_symmetry_Int_Tables_number 2
_cell_length_a 3.0630
_cell_length_b 5.5527
_cell_length_c 6.0929
_cell_angle_alpha 96.86
_cell_angle_beta 90.06
_cell_angle_gamma 105.90
loop_
_symmetry_equiv_pos_as_xyz
'x,y,z'
'-x,-y,-z'
loop_
_atom_site_label
_atom_site_fract_x
_atom_site_fract_y
_atom_site_fract_z
Al1 0.2284 0.4556 0.3066
Hg1 0.0000 0.0000 0.5000
Hg2 0.5000 0.0000 0.0000
B1 0.2760 0.5521 0.9655
# - Calculated formation energy: 0.2137 eV/atom

=====

# 13
# AlHg2B | Alexandria via LeMat-Bulk | PBE | optimized geometry
data_AlHg2B
_chemical_formula_sum 'Al4 Hg8 B4'
_symmetry_space_group_name_H-M 'F m -3 m'
_symmetry_Int_Tables_number 225
_symmetry_space_group_name_Hall '-F 4 2 3'
_cell_length_a 6.6930
_cell_length_b 6.6930
_cell_length_c 6.6930
_cell_angle_alpha 90.00
_cell_angle_beta 90.00
_cell_angle_gamma 90.00
loop_
_atom_site_label
_atom_site_fract_x
_atom_site_fract_y
_atom_site_fract_z
Al1 0.0000 0.0000 0.0000
Hg1 0.2500 0.2500 0.2500
B1 0.0000 0.0000 0.5000
# - Excess energy over the best structure of this formula in the dataset: 206.5 meV per atom
# - Calculated formation energy: 1.0315 eV/atom